Record 1
{"formula": "KAl2PPb", "functional": "GGA-PBE", "state": "relaxed", "lattice_angstrom": [[5.510, 0.000, 0.000], [0.000, 5.510, 0.000], [0.000, 0.000, 5.460]], "species": ["K", "Al", "Al", "P", "Pb"], "fractional_positions": [[0.000, 0.000, 0.000], [0.000, 0.500, 0.000], [0.500, 0.000, 0.000], [0.000, 0.000, 0.500], [0.500, 0.500, 0.500]]}

Record 2
{"formula": "Y2GeAs", "functional": "GGA-PBE", "state": "relaxed", "relative_energy_ev_per_atom": 0.236, "lattice_angstrom": [[3.984, 0.000, 0.000], [-1.992, 3.450, 0.000], [0.000, 0.000, 22.263]], "species": ["Y", "Y", "Y", "Y", "Y", "Y", "Ge", "Ge", "Ge", "As", "As", "As"], "fractional_positions": [[0.000, 0.000, 0.000], [0.000, 0.000, 0.164], [0.333, 0.667, 0.667], [0.333, 0.667, 0.831], [0.667, 0.333, 0.333], [0.667, 0.333, 0.498], [0.000, 0.000, 0.584], [0.333, 0.667, 0.251], [0.667, 0.333, 0.917], [0.000, 0.000, 0.414], [0.333, 0.667, 0.081], [0.667, 0.333, 0.748]]}

no.,energy of formation from the pure elements (meV/atom),E (eV/atom)
1,1312,-2.228
2,-977,-6.526